Record 1
VASP calculation (PBE) on a geometry-optimized TaBeNiRu structure.

Cell lengths 5.952, 5.952, 5.952 Å; angles 90.00, 90.00, 90.00 degrees
Fractional coordinates of all 16 atoms:
1 Ta 0.000 0.000 0.000
2 Ta 0.000 0.500 0.500
3 Ta 0.500 0.000 0.500
4 Ta 0.500 0.500 0.000
5 Be 0.000 0.000 0.500
6 Be 0.000 0.500 0.000
7 Be 0.500 0.000 0.000
8 Be 0.500 0.500 0.500
9 Ni 0.250 0.250 0.750
10 Ni 0.250 0.750 0.250
11 Ni 0.750 0.250 0.250
12 Ni 0.750 0.750 0.750
13 Ru 0.250 0.250 0.250
14 Ru 0.250 0.750 0.750
15 Ru 0.750 0.250 0.750
16 Ru 0.750 0.750 0.250

Output
Density of states at the Fermi level: 4.007 states/eV/f.u.
Magnetic moment: 0.0 μB per formula unit
Space group: No. 216
Final energy: -7.917 eV/atom
V: 210.9 Å³ per cell
Energy of formation from the pure elements: -0.2581 eV/atom

---

Record 2
VASP calculation (PBE) on a geometry-optimized Tb5Pr2NdEr structure.

Cell lengths 10.013, 10.013, 10.013 Å; angles 128.24, 128.24, 76.23 degrees
Fractional coordinates of all 18 atoms:
1 Tb 0.000 0.000 0.000
2 Tb 0.072 0.572 0.923
3 Tb 0.149 0.072 0.500
4 Tb 0.351 0.851 0.923
5 Tb 0.428 0.351 0.500
6 Tb 0.500 0.500 0.000
7 Tb 0.572 0.649 0.500
8 Tb 0.649 0.149 0.077
9 Tb 0.851 0.928 0.500
10 Tb 0.928 0.428 0.077
11 Pr 0.118 0.382 0.500
12 Pr 0.382 0.882 0.264
13 Pr 0.618 0.118 0.736
14 Pr 0.882 0.618 0.500
15 Nd 0.250 0.250 0.000
16 Nd 0.750 0.750 0.000
17 Er 0.250 0.750 0.500
18 Er 0.750 0.250 0.500

Output
Density of states at the Fermi level: 11.296 states/eV/f.u.
Magnetic moment: 0.0 μB per formula unit
Space group: No. 140
Final energy: -4.405 eV/atom
V: 601.8 Å³ per cell
Energy of formation from the pure elements: 0.2667 eV/atom

---

Record 3
VASP calculation (PBE) on a geometry-optimized K2HgAuO structure.

Cell lengths 5.614, 5.614, 4.310 Å; angles 90.00, 90.00, 90.00 degrees
Fractional coordinates of all 5 atoms:
1 K 0.000 0.500 0.000
2 K 0.500 0.000 0.000
3 Hg 0.000 0.000 0.500
4 Au 0.500 0.500 0.500
5 O 0.500 0.500 0.000

Output
Density of states at the Fermi level: 2.356 states/eV/f.u.
Magnetic moment: 0.0 μB per formula unit
Space group: No. 123
Final energy: -2.660 eV/atom
V: 135.8 Å³ per cell

---

Question: The lowest final energy belongs to which entry?
Answer: TaBeNiRu